(1)
DFT (GGA-PBE) results for a relaxed structure of Zr2GeOF.

For the uncorrected energy, the calculation gives -5.745 eV per atom. Its space group is P4/mmm, No. 123. The density of states at the Fermi level comes out at 4.585 states/eV/cell. The calculated density comes out at 4.63 Mg/m³.

Lattice parameters (Å, degrees): 5.2000 5.2000 3.8514 90.00 90.00 90.00
With the nearest neighbours (Å) after each atom.
Atoms (fractional coordinates):
Zr1 0.0000 0.5000 0.0000  2 Ge 2.60
Zr2 0.5000 0.0000 0.0000  2 Ge 2.60
Ge1 0.0000 0.0000 0.0000  2 O 1.93
O1 0.0000 0.0000 0.5000  2 Ge 1.93
F1 0.5000 0.5000 0.5000  8 Zr 3.24

---

(2)
DFT (GGA-PBE) results for a relaxed structure of ZrGeO2F.

For the uncorrected energy, the calculation gives -6.068 eV per atom. Its space group is P4/mmm, No. 123. The density of states at the Fermi level comes out at 3.565 states/eV/cell. The calculated density comes out at 5.41 Mg/m³.

Lattice parameters (Å, degrees): 3.9899 3.9899 4.1466 90.00 90.00 90.00
With the nearest neighbours (Å) after each atom.
Atoms (fractional coordinates):
Zr1 0.0000 0.0000 0.0000  4 F 2.82, 8 O 2.88
Ge1 0.5000 0.5000 0.5000  4 O 1.99, 2 F 2.07
O1 0.0000 0.5000 0.5000  2 Ge 1.99
O2 0.5000 0.0000 0.5000  2 Ge 1.99
F1 0.5000 0.5000 0.0000  2 Ge 2.07

---

(3)
DFT (GGA-PBE) results for a relaxed structure of ZrGeOF2.

For the uncorrected energy, the calculation gives -6.384 eV per atom. Its space group is P4/mmm, No. 123. The density of states at the Fermi level comes out at 3.694 states/eV/cell. The calculated density comes out at 4.61 Mg/m³.

Lattice parameters (Å, degrees): 4.3769 4.3769 4.0970 90.00 90.00 90.00
With the nearest neighbours (Å) after each atom.
Atoms (fractional coordinates):
Zr1 0.0000 0.0000 0.0000  2 O 2.05, 4 F 2.19
Ge1 0.5000 0.5000 0.5000  8 F 3.00, 4 O 3.09
O1 0.0000 0.0000 0.5000  2 Zr 2.05
F1 0.0000 0.5000 0.0000  2 Zr 2.19
F2 0.5000 0.0000 0.0000  2 Zr 2.19